# 1
# PdRh

A relaxed PdRh crystal (PBE-GGA, Alexandria via LeMat-Bulk).

a b c (Å): 5.1559 5.1559 5.1548
angles (deg): 90.00 90.00 90.00
Fractional coordinates of all 8 atoms:
Rh  0.7478  0.7478  0.5000
Rh  0.2522  0.2522  0.5000
Rh  0.7522  0.2478  0.0000
Rh  0.2478  0.7522  0.0000
Pd  0.7522  0.2478  0.5000
Pd  0.7478  0.7478  0.0000
Pd  0.2522  0.2522  0.0000
Pd  0.2478  0.7522  0.5000

Theoretical density, kg/m3: 10146
Density of states at the Fermi level, states/eV per atom: 1.74
E_form, eV per atom: 0.77
SG: P4_2/mnm (136)
Magnetization, μB/cell: 0.00


# 2
# Pd4Rh

A relaxed Pd4Rh crystal (PBE-GGA, Alexandria via LeMat-Bulk).

a b c (Å): 4.7530 4.7530 4.7530
angles (deg): 90.00 90.00 90.00
Each line ends with the local moment (μB).
Fractional coordinates of all 5 atoms:
Pd  0.0000  0.0000  0.0000  0.00
Pd  0.5000  0.0000  0.5000  0.22
Pd  0.0000  0.5000  0.5000  0.22
Pd  0.5000  0.5000  0.0000  0.22
Rh  0.5000  0.5000  0.5000  0.81

Theoretical density, kg/m3: 8175
Density of states at the Fermi level, states/eV per atom: 1.27
E_form, eV per atom: 1.21
SG: Pm-3m (221)
Magnetization, μB/cell: 1.47


# 3
# Pd8Rh

A relaxed Pd8Rh crystal (PBE-GGA, Alexandria via LeMat-Bulk).

a b c (Å): 3.9305 6.2365 6.2365
angles (deg): 84.30 71.63 71.63
Each line ends with the local moment (μB).
Fractional coordinates of all 9 atoms:
Pd  0.3350  0.0000  0.3301  0.42
Pd  0.3318  0.6682  0.6682  0.44
Pd  0.6650  0.0000  0.6699  0.42
Pd  0.3350  0.3301  0.0000  0.42
Pd  0.0000  0.6682  0.3318  0.44
Pd  0.6650  0.6699  0.0000  0.42
Pd  0.0000  0.3318  0.6682  0.44
Pd  0.6682  0.3318  0.3318  0.44
Rh  0.0000  0.0000  0.0000  1.25

Theoretical density, kg/m3: 11508
Density of states at the Fermi level, states/eV per atom: 1.69
E_form, eV per atom: 0.04
SG: I4/mmm (139)
Magnetization, μB/cell: 4.59


# 4
# PdRh2

A relaxed PdRh2 crystal (PBE-GGA, Alexandria via LeMat-Bulk).

a b c (Å): 7.7756 2.7372 9.0757
angles (deg): 90.00 115.32 90.00
Fractional coordinates of all 12 atoms:
Rh  0.2412  0.5000  0.4999
Rh  0.7588  0.5000  0.5001
Rh  0.9203  0.5000  0.8339
Rh  0.0797  0.5000  0.1661
Rh  0.0797  0.0000  0.6661
Rh  0.7588  0.0000  0.0001
Rh  0.2412  0.0000  0.9999
Rh  0.9203  0.0000  0.3339
Pd  0.4157  0.0000  0.3348
Pd  0.5843  0.0000  0.6652
Pd  0.5843  0.5000  0.1652
Pd  0.4157  0.5000  0.8348

Theoretical density, kg/m3: 11877
Density of states at the Fermi level, states/eV per atom: 1.70
E_form, eV per atom: 0.05
SG: C2/m (12)
Magnetization, μB/cell: 0.00


# 5
# PdRh3

A relaxed PdRh3 crystal (PBE-GGA, Alexandria via LeMat-Bulk).

a b c (Å): 2.7392 2.7392 7.7166
angles (deg): 90.00 90.00 90.00
Fractional coordinates of all 4 atoms:
Pd  0.5000  0.5000  0.5000
Rh  0.5000  0.5000  0.0000
Rh  0.0000  0.0000  0.2421
Rh  0.0000  0.0000  0.7579

Theoretical density, kg/m3: 11906
Density of states at the Fermi level, states/eV per atom: 1.76
E_form, eV per atom: 0.05
SG: P4/mmm (123)
Magnetization, μB/cell: 0.00


# 6
# PdRh2

A relaxed PdRh2 crystal (PBE-GGA, Alexandria via LeMat-Bulk).

a b c (Å): 5.1055 5.1055 5.1055
angles (deg): 60.00 60.00 60.00
Each line ends with the local moment (μB).
Fractional coordinates of all 6 atoms:
Pd  0.0000  0.0000  0.0000  0.43
Pd  0.2500  0.2500  0.2500  0.43
Rh  0.6250  0.6250  0.1250  0.80
Rh  0.1250  0.6250  0.6250  0.80
Rh  0.6250  0.1250  0.6250  0.80
Rh  0.6250  0.6250  0.6250  0.80

Theoretical density, kg/m3: 11019
Density of states at the Fermi level, states/eV per atom: 2.13
E_form, eV per atom: 0.37
SG: Fd-3m (227)
Magnetization, μB/cell: 4.07


# 7
# PdRh2

A relaxed PdRh2 crystal (PBE-GGA, Alexandria via LeMat-Bulk).

a b c (Å): 2.7451 2.7451 6.1196
angles (deg): 102.96 102.96 90.00
Fractional coordinates of all 3 atoms:
Rh  0.6713  0.6713  0.3426
Rh  0.3287  0.3287  0.6574
Pd  0.0000  0.0000  0.0000

Theoretical density, kg/m3: 11855
Density of states at the Fermi level, states/eV per atom: 1.86
E_form, eV per atom: 0.07
SG: I4/mmm (139)
Magnetization, μB/cell: 0.00


# 8
# PdRh2

A relaxed PdRh2 crystal (PBE-GGA, Alexandria via LeMat-Bulk).

a b c (Å): 4.7401 2.7500 6.6939
angles (deg): 90.00 90.06 90.00
Fractional coordinates of all 6 atoms:
Rh  0.5789  0.7500  0.3320
Rh  0.2544  0.7500  0.9957
Rh  0.7456  0.2500  0.0043
Rh  0.4211  0.2500  0.6680
Pd  0.9169  0.7500  0.6694
Pd  0.0831  0.2500  0.3306

Theoretical density, kg/m3: 11884
Density of states at the Fermi level, states/eV per atom: 1.65
E_form, eV per atom: 0.07
SG: P2_1/m (11)
Magnetization, μB/cell: 0.00


# 9
# PdRh

A relaxed PdRh crystal (PBE-GGA, Alexandria via LeMat-Bulk).

a b c (Å): 8.2794 14.6645 4.2299
angles (deg): 90.00 90.00 90.00
Each line ends with the local moment (μB).
Fractional coordinates of all 32 atoms:
Pd  0.5924  0.7500  0.2500  0.30
Pd  0.6576  0.0000  0.0000  0.30
Pd  0.3424  0.0000  0.0000  0.30
Pd  0.0924  0.2500  0.2500  0.30
Pd  0.4076  0.2500  0.2500  0.30
Pd  0.4076  0.7500  0.7500  0.30
Pd  0.1576  0.0000  0.5000  0.30
Pd  0.9076  0.7500  0.2500  0.30
Pd  0.0924  0.7500  0.7500  0.30
Pd  0.1576  0.5000  0.0000  0.30
Pd  0.3424  0.5000  0.5000  0.30
Pd  0.8424  0.0000  0.5000  0.30
Pd  0.9076  0.2500  0.7500  0.30
Pd  0.5924  0.2500  0.7500  0.30
Pd  0.6576  0.5000  0.5000  0.30
Pd  0.8424  0.5000  0.0000  0.30
Rh  0.5000  0.4131  0.0000  0.81
Rh  0.2500  0.3369  0.7500  0.81
Rh  0.7500  0.6631  0.7500  0.81
Rh  0.7500  0.8369  0.7500  0.81
Rh  0.0000  0.0869  0.0000  0.81
Rh  0.7500  0.3369  0.2500  0.81
Rh  0.2500  0.1631  0.7500  0.81
Rh  0.7500  0.1631  0.2500  0.81
Rh  0.2500  0.8369  0.2500  0.81
Rh  0.0000  0.4131  0.5000  0.81
Rh  0.0000  0.9131  0.0000  0.81
Rh  0.2500  0.6631  0.2500  0.81
Rh  0.5000  0.5869  0.0000  0.81
Rh  0.5000  0.0869  0.5000  0.81
Rh  0.0000  0.5869  0.5000  0.81
Rh  0.5000  0.9131  0.5000  0.81

Theoretical density, kg/m3: 10829
Density of states at the Fermi level, states/eV per atom: 1.73
E_form, eV per atom: 0.36
SG: Fddd (70)
Magnetization, μB/cell: 17.71


# 10
# PdRh

A relaxed PdRh crystal (PBE-GGA, Alexandria via LeMat-Bulk).

a b c (Å): 2.7576 5.5377 3.8612
angles (deg): 90.00 90.00 90.00
Fractional coordinates of all 4 atoms:
Rh  0.5000  0.6161  0.5000
Rh  0.0000  0.3839  0.0000
Pd  0.0000  0.8728  0.0000
Pd  0.5000  0.1272  0.5000

Theoretical density, kg/m3: 11790
Density of states at the Fermi level, states/eV per atom: 1.53
E_form, eV per atom: 0.06
SG: Pmmn (59)
Magnetization, μB/cell: 0.00


# 11
# Pd4Rh

A relaxed Pd4Rh crystal (PBE-GGA, Alexandria via LeMat-Bulk).

a b c (Å): 2.7765 2.7765 11.4288
angles (deg): 83.02 83.02 60.00
Each line ends with the local moment (μB).
Fractional coordinates of all 5 atoms:
Pd  0.6014  0.6014  0.1959  0.14
Pd  0.2005  0.2005  0.3984  0.08
Pd  0.3986  0.3986  0.8041  0.14
Pd  0.7995  0.7995  0.6016  0.08
Rh  0.0000  0.0000  0.0000  0.31

Theoretical density, kg/m3: 11618
Density of states at the Fermi level, states/eV per atom: 2.07
E_form, eV per atom: 0.04
SG: R-3m (166)
Magnetization, μB/cell: 0.75


# 12
# PdRh2

A relaxed PdRh2 crystal (PBE-GGA, Alexandria via LeMat-Bulk).

a b c (Å): 3.8494 2.7576 8.2199
angles (deg): 90.00 90.00 90.00
Fractional coordinates of all 6 atoms:
Pd  0.0000  0.5000  0.0000
Pd  0.5000  0.0000  0.5000
Rh  0.0000  0.5000  0.6695
Rh  0.5000  0.0000  0.1695
Rh  0.0000  0.5000  0.3305
Rh  0.5000  0.0000  0.8305

Theoretical density, kg/m3: 11884
Density of states at the Fermi level, states/eV per atom: 1.74
E_form, eV per atom: 0.08
SG: Immm (71)
Magnetization, μB/cell: 0.00


Number 1: volume 34.3 Å³/f.u.. Number 2: volume 107.4 Å³/f.u.. Number 3: volume 137.7 Å³/f.u.. Number 4: volume 43.7 Å³/f.u.. Number 5: volume 57.9 Å³/f.u.. Number 6: volume 47.1 Å³/f.u.. Number 7: volume 43.7 Å³/f.u.. Number 8: volume 43.6 Å³/f.u.. Number 9: volume 32.1 Å³/f.u.. Number 10: volume 29.5 Å³/f.u.. Number 11: volume 75.5 Å³/f.u.. Number 12: volume 43.6 Å³/f.u..